This record from Alexandria via LeMat-Bulk describes a relaxed structure of ErPaPd. The functional is GGA-PBE.

Computed properties:
excess energy over the best structure of this formula in the dataset: 75 meV/atom
DOS(E_F): 3.930 states/eV/f.u.
density: 11.7 g/cm³

Cell: 3.5693 3.5693 11.2797 Å, 90.00 90.00 90.00°
Last column: nearest neighbours and their distance in Å.
Space group I4mm (No. 107)
One atom of each set of equivalent atoms:
Er1 0.0000 0.0000 0.0000 x2  4 Pd 3.15, 5 Pa 3.37-3.39
Pa1 0.0000 0.0000 0.7012 x2  4 Pd 2.93
Pd1 0.0000 0.0000 0.3325 x2  4 Pa 2.93, 4 Er 3.15

This record from Alexandria via LeMat-Bulk describes a relaxed structure of ErPa2Pd. The functional is GGA-PBE.

Computed properties:
DOS(E_F): 7.644 states/eV/f.u.
density: 12.5 g/cm³

Cell: 3.1605 3.1605 33.8593 Å, 90.00 90.00 120.00°
Last column: nearest neighbours and their distance in Å.
Space group R-3m (No. 166, hexagonal axes)
One atom of each set of equivalent atoms:
Er1 0.0000 0.0000 0.0000 x3  6 Er 3.16, 6 Pa 3.47
Pa1 0.0000 0.0000 0.4206 x6  1 Pd 2.69
Pd1 0.0000 0.0000 0.5000 x3  2 Pa 2.69

no.,ΔH_f (0 K) (eV/atom)
1,-0.29
2,0.18